The following is a DFT calculation (PBE with a Hubbard U) of crystalline Mn2PO4 at its relaxed geometry.

a b c (Å): 4.9501 6.6087 10.8533
angles (deg): 90.00 90.00 90.00
Last column: nearest neighbours and their distance in Å.
Positions (direct):
Mn 0.5000 0.5000 0.5000  6 O 2.34-2.48
O 0.7623 0.2500 0.3780  1 P 1.56
P 0.5761 0.7500 0.1132  4 O 1.56-1.59
Mn 0.0809 0.7500 0.3078  4 O 2.16-2.21
O 0.2623 0.7500 0.1220  1 P 1.56
O 0.7117 0.5608 0.1720  1 P 1.56
Mn 0.5809 0.2500 0.1922  4 O 2.16-2.21
O 0.1698 0.2500 0.5266  1 P 1.59
P 0.4239 0.2500 0.8868  4 O 1.56-1.59
O 0.8302 0.7500 0.4734  1 P 1.59
O 0.7883 0.9392 0.6720  1 P 1.56
Mn 0.0000 0.5000 0.0000  6 O 2.34-2.48
O 0.7883 0.5608 0.6720  1 P 1.56
Mn 0.5000 0.0000 0.5000  6 O 2.34-2.48
O 0.3302 0.2500 0.0266  1 P 1.59
O 0.2117 0.0608 0.3280  1 P 1.56
P 0.0761 0.2500 0.3868  4 O 1.56-1.59
O 0.2377 0.7500 0.6220  1 P 1.56
P 0.9239 0.7500 0.6132  4 O 1.56-1.59
Mn 0.0000 0.0000 0.0000  6 O 2.34-2.48
Mn 0.4191 0.7500 0.8078  4 O 2.16-2.21
O 0.2117 0.4392 0.3280  1 P 1.56
O 0.2883 0.4392 0.8280  1 P 1.56
O 0.6698 0.7500 0.9734  1 P 1.59
O 0.7377 0.2500 0.8780  1 P 1.56
O 0.2883 0.0608 0.8280  1 P 1.56
Mn 0.9191 0.2500 0.6922  4 O 2.16-2.21
O 0.7117 0.9392 0.1720  1 P 1.56

Values from the calculation:
- DFT total energy (eV/atom) = -7.47
- polymorph energy (0 for the lowest one) (kJ/mol of formula units) = 5.8
- M_tot (μB per atom) = 1.340
- space-group type = Pnma